1 | Here is a geometry-optimized KVN2 structure from Alexandria via LeMat-Bulk. Energies are from PBE-GGA.

a = 4.0498 Å, b = 4.0498 Å, c = 4.0498 Å
α = 60.00°, β = 60.00°, γ = 60.00°
Element x y z (fractional)
N  0.2500  0.2500  0.2500
N  0.7500  0.7500  0.7500
K  0.0000  0.0000  0.0000
V  0.5000  0.5000  0.5000

- Volume: 47 Å³/f.u.
- Theoretical density: 4174 kg/m³

=====

2 | Here is a geometry-optimized KVN2 structure from Alexandria via LeMat-Bulk. Energies are from PBE-GGA.

a = 7.1676 Å, b = 7.1676 Å, c = 7.1676 Å
α = 24.14°, β = 24.14°, γ = 24.14°
Element x y z (fractional)
K  0.0000  0.0000  0.0000
V  0.5000  0.5000  0.5000
N  0.8824  0.8824  0.8824
N  0.1176  0.1176  0.1176

- Volume: 54 Å³/f.u.
- Theoretical density: 3623 kg/m³

=====

3 | Here is a geometry-optimized KVN2 structure from Alexandria via LeMat-Bulk. Energies are from PBE-GGA.

a = 5.6619 Å, b = 5.6619 Å, c = 5.7398 Å
α = 60.45°, β = 60.45°, γ = 90.00°
Element x y z (fractional)
N  0.9572  0.6250  0.2500
K  0.2500  0.7500  0.5000
K  0.5000  0.5000  0.0000
N  0.8750  0.0428  0.7500
V  0.7500  0.2500  0.5000
V  0.0000  0.0000  0.0000
N  0.3750  0.2072  0.7500
N  0.7928  0.1250  0.2500

- Volume: 66 Å³/f.u.
- Theoretical density: 2974 kg/m³

=====

4 | Here is a geometry-optimized KVN2 structure from Alexandria via LeMat-Bulk. Energies are from PBE-GGA.

a = 2.9786 Å, b = 2.9786 Å, c = 6.5242 Å
α = 76.80°, β = 76.80°, γ = 60.00°
Element x y z (fractional)
N  0.7223  0.7223  0.8330
V  0.0000  0.0000  0.0000
K  0.5000  0.5000  0.5000
N  0.2777  0.2777  0.1670

- Volume: 48 Å³/f.u.
- Theoretical density: 4054 kg/m³

=====

In terms of stability, 3 leads; the second structure lies 380 meV/atom higher.

=====

1 | Here is a geometry-optimized KY3N structure from Alexandria via LeMat-Bulk. Energies are from PBE-GGA.

a = 5.0884 Å, b = 5.0884 Å, c = 5.0884 Å
α = 90.00°, β = 90.00°, γ = 90.00°
Element x y z (fractional)
Y  0.0000  0.5000  0.0000
K  0.5000  0.5000  0.5000
Y  0.5000  0.0000  0.0000
Y  0.0000  0.0000  0.5000
N  0.0000  0.0000  0.0000

- Volume: 132 Å³/f.u.
- Theoretical density: 4031 kg/m³

=====

2 | Here is a geometry-optimized KY3N structure from Alexandria via LeMat-Bulk. Energies are from PBE-GGA.

a = 5.2581 Å, b = 5.2581 Å, c = 5.2581 Å
α = 90.00°, β = 90.00°, γ = 90.00°
Element x y z (fractional)
Y  0.5000  0.0000  0.0000
K  0.0000  0.0000  0.0000
Y  0.0000  0.5000  0.0000
Y  0.0000  0.0000  0.5000
N  0.5000  0.5000  0.5000

- Volume: 145 Å³/f.u.
- Theoretical density: 3653 kg/m³

=====

In terms of stability, 1 leads; the second structure lies 2428 meV/atom higher.

=====

1 | Here is a geometry-optimized KZrN2 structure from Alexandria via LeMat-Bulk. Energies are from PBE-GGA.

a = 7.3150 Å, b = 7.3150 Å, c = 7.3150 Å
α = 31.55°, β = 31.55°, γ = 31.55°
Element x y z (fractional)
N  0.0894  0.0894  0.0894
Zr  0.0000  0.0000  0.0000
N  0.9106  0.9106  0.9106
K  0.5000  0.5000  0.5000

- Volume: 95 Å³/f.u.
- Theoretical density: 2764 kg/m³

=====

2 | Here is a geometry-optimized KZrN2 structure from Alexandria via LeMat-Bulk. Energies are from PBE-GGA.

a = 4.1893 Å, b = 4.1893 Å, c = 4.1893 Å
α = 60.00°, β = 60.00°, γ = 60.00°
Element x y z (fractional)
Zr  0.5000  0.5000  0.5000
K  0.0000  0.0000  0.0000
N  0.2500  0.2500  0.2500
N  0.7500  0.7500  0.7500

- Volume: 52 Å³/f.u.
- Theoretical density: 5057 kg/m³

=====

3 | Here is a geometry-optimized KZrN2 structure from Alexandria via LeMat-Bulk. Energies are from PBE-GGA.

a = 7.4064 Å, b = 7.4064 Å, c = 7.4064 Å
α = 26.59°, β = 26.59°, γ = 26.59°
Element x y z (fractional)
N  0.1172  0.1172  0.1172
K  0.0000  0.0000  0.0000
Zr  0.5000  0.5000  0.5000
N  0.8828  0.8828  0.8828

- Volume: 72 Å³/f.u.
- Theoretical density: 3664 kg/m³

=====

4 | Here is a geometry-optimized KZrN2 structure from Alexandria via LeMat-Bulk. Energies are from PBE-GGA.

a = 6.0444 Å, b = 6.0444 Å, c = 6.3215 Å
α = 61.44°, β = 61.44°, γ = 90.00°
Element x y z (fractional)
Zr  0.0000  0.0000  0.0000
N  0.0086  0.6250  0.2500
Zr  0.7500  0.2500  0.5000
N  0.3750  0.2586  0.7500
K  0.5000  0.5000  0.0000
K  0.2500  0.7500  0.5000
N  0.8750  0.9914  0.7500
N  0.7414  0.1250  0.2500

- Volume: 85 Å³/f.u.
- Theoretical density: 3090 kg/m³

=====

In terms of stability, 4 leads; the second structure lies 125 meV/atom higher.

=====

1 | Here is a geometry-optimized K5Na2 structure from Alexandria via LeMat-Bulk. Energies are from PBE-GGA.

a = 4.5860 Å, b = 4.5860 Å, c = 20.7277 Å
α = 96.35°, β = 96.35°, γ = 90.00°
Element x y z (fractional)
K  0.4165  0.4165  0.8329
K  0.5835  0.5835  0.1671
Na  0.2697  0.2697  0.5393
K  0.1666  0.1666  0.3332
K  0.8334  0.8334  0.6668
Na  0.7303  0.7303  0.4607
K  0.0000  0.0000  0.0000

- Volume: 431 Å³/f.u.
- Theoretical density: 931 kg/m³

=====

2 | Here is a geometry-optimized K5Na2 structure from Alexandria via LeMat-Bulk. Energies are from PBE-GGA.

a = 6.9178 Å, b = 12.1833 Å, c = 10.9191 Å
α = 101.53°, β = 108.47°, γ = 90.00°
Element x y z (fractional)
K  0.1207  0.0421  0.7514
Na  0.8238  0.6097  0.1580
K  0.3693  0.4579  0.2486
K  0.5266  0.1776  0.5673
Na  0.6658  0.8903  0.8420
Na  0.1762  0.3903  0.8420
K  0.7514  0.2500  0.0000
Na  0.3342  0.1097  0.1580
K  0.2486  0.7500  0.0000
K  0.6307  0.5421  0.7514
K  0.8793  0.9579  0.2486
K  0.4734  0.8224  0.4327
K  0.0407  0.6776  0.5673
K  0.9593  0.3224  0.4327

- Volume: 427 Å³/f.u.
- Theoretical density: 940 kg/m³

=====

In terms of stability, 1 leads; the second structure lies 12 meV/atom higher.

=====

1 | Here is a geometry-optimized K13Na2 structure from Alexandria via LeMat-Bulk. Energies are from PBE-GGA.

a = 11.7642 Å, b = 11.7642 Å, c = 12.6858 Å
α = 62.38°, β = 62.38°, γ = 60.00°
Element x y z (fractional)
Na  0.2610  0.2610  0.2171
Na  0.7390  0.7390  0.7829
K  0.5237  0.1293  0.8233
K  0.5237  0.5237  0.8233
K  0.8707  0.4763  0.1767
K  0.1009  0.7370  0.4250
K  0.2630  0.8991  0.5750
K  0.7370  0.7370  0.4250
K  0.2630  0.2630  0.5750
K  0.7370  0.1009  0.4250
K  0.8991  0.2630  0.5750
K  0.5000  0.5000  0.5000
K  0.1293  0.5237  0.8233
K  0.4763  0.4763  0.1767
K  0.4763  0.8707  0.1767

- Volume: 1284 Å³/f.u.
- Theoretical density: 717 kg/m³

=====

2 | Here is a geometry-optimized K13Na2 structure from Alexandria via LeMat-Bulk. Energies are from PBE-GGA.

a = 8.2738 Å, b = 11.3751 Å, c = 11.8672 Å
α = 115.78°, β = 85.31°, γ = 96.04°
Element x y z (fractional)
K  0.1976  0.7863  0.1838
K  0.3540  0.5932  0.4118
K  0.6779  0.6613  0.9992
K  0.8024  0.2137  0.8162
K  0.3221  0.3387  0.0008
K  0.6460  0.4068  0.5882
K  0.8577  0.4762  0.2421
K  0.7437  0.9312  0.4117
Na  0.0659  0.2387  0.3799
K  0.5193  0.1308  0.2067
Na  0.9341  0.7613  0.6201
K  0.0000  0.0000  0.0000
K  0.1423  0.5238  0.7579
K  0.4807  0.8692  0.7933
K  0.2563  0.0688  0.5883

- Volume: 999 Å³/f.u.
- Theoretical density: 921 kg/m³

=====

In terms of stability, 2 leads; the second structure lies 121 meV/atom higher.